! GGA-PBE Cs2BaNpO5, optimized geometry; values from VASP
&SYSTEM
  ibrav = 0, nat = 9, ntyp = 4
/
ATOMIC_SPECIES
Cs 132.91 Cs.upf
Ba 137.33 Ba.upf
Np 237.00 Np.upf
O 16.00 O.upf
CELL_PARAMETERS angstrom
-2.157 3.110 7.173
2.157 -3.110 7.173
2.157 3.110 -7.173
ATOMIC_POSITIONS crystal
Cs 0.219 0.219 0.000
Cs 0.781 0.781 0.000
Ba 0.500 0.000 0.500
Np 0.000 0.500 0.500
O 0.000 0.000 0.000
O 0.139 0.402 0.738
O 0.336 0.598 0.738
O 0.664 0.402 0.262
O 0.861 0.598 0.262
! electronic total energy: -7.052 eV/atom

=====

! GGA-PBE HfBi2WN, optimized geometry; values from VASP
&SYSTEM
  ibrav = 0, nat = 5, ntyp = 4
/
ATOMIC_SPECIES
Hf 178.49 Hf.upf
Bi 208.98 Bi.upf
W 183.84 W.upf
N 14.01 N.upf
CELL_PARAMETERS angstrom
5.552 0.000 0.000
0.000 5.552 0.000
0.000 0.000 4.959
ATOMIC_POSITIONS crystal
Hf 0.000 0.000 0.000
Bi 0.000 0.500 0.000
Bi 0.500 0.000 0.000
W 0.000 0.000 0.500
N 0.500 0.500 0.500
! D(E_F): 7.0 states/eV/cell
! electronic total energy: -5.379 eV/atom

=====

! GGA-PBE Ti2ZnCd, optimized geometry; values from VASP
&SYSTEM
  ibrav = 0, nat = 4, ntyp = 3
/
ATOMIC_SPECIES
Ti 47.87 Ti.upf
Zn 65.41 Zn.upf
Cd 112.41 Cd.upf
CELL_PARAMETERS angstrom
2.877 0.000 0.000
0.000 2.877 0.000
0.000 0.000 8.313
ATOMIC_POSITIONS crystal
Ti 0.000 0.000 0.227
Ti 0.000 0.000 0.773
Zn 0.500 0.500 0.000
Cd 0.500 0.500 0.500
! relative energy among the computed polymorphs: 0.000 eV/atom
! D(E_F): 3.1 states/eV/cell
! calculated formation energy: -0.081 eV/atom
! electronic total energy: -4.576 eV/atom

=====

! GGA-PBE Th12RuAu6, optimized geometry; values from VASP
&SYSTEM
  ibrav = 0, nat = 19, ntyp = 3
/
ATOMIC_SPECIES
Th 232.04 Th.upf
Ru 101.07 Ru.upf
Au 196.97 Au.upf
CELL_PARAMETERS angstrom
6.187 3.572 4.243
-6.187 3.572 4.243
0.000 -7.145 4.243
ATOMIC_POSITIONS crystal
Th 0.031 0.332 0.051
Th 0.051 0.031 0.332
Th 0.190 0.562 0.422
Th 0.332 0.051 0.031
Th 0.422 0.190 0.562
Th 0.438 0.578 0.810
Th 0.562 0.422 0.190
Th 0.578 0.810 0.438
Th 0.668 0.949 0.969
Th 0.810 0.438 0.578
Th 0.949 0.969 0.668
Th 0.969 0.668 0.949
Ru 0.000 0.000 0.000
Au 0.131 0.329 0.695
Au 0.305 0.869 0.671
Au 0.329 0.695 0.131
Au 0.671 0.305 0.869
Au 0.695 0.131 0.329
Au 0.869 0.671 0.305
! D(E_F): 24.9 states/eV/cell
! calculated formation energy: -0.233 eV/atom
! electronic total energy: -6.443 eV/atom

=====

! GGA-PBE Co2AsOs, optimized geometry; values from VASP
&SYSTEM
  ibrav = 0, nat = 4, ntyp = 3
/
ATOMIC_SPECIES
Co 58.93 Co.upf
As 74.92 As.upf
Os 190.23 Os.upf
CELL_PARAMETERS angstrom
2.529 -3.690 0.000
2.529 3.690 0.000
0.000 0.000 2.692
ATOMIC_POSITIONS crystal
Co 0.000 0.500 0.000
Co 0.500 0.000 0.000
As 0.000 0.000 0.500
Os 0.500 0.500 0.500
! D(E_F): 5.4 states/eV/cell
! calculated formation energy: 0.226 eV/atom
! electronic total energy: -7.297 eV/atom

=====

! GGA-PBE HgSb2O, optimized geometry; values from VASP
&SYSTEM
  ibrav = 0, nat = 8, ntyp = 3
/
ATOMIC_SPECIES
Hg 200.59 Hg.upf
Sb 121.76 Sb.upf
O 16.00 O.upf
CELL_PARAMETERS angstrom
-2.717 2.717 7.052
2.717 -2.717 7.052
2.717 2.717 -7.052
ATOMIC_POSITIONS crystal
Hg 0.000 0.000 0.000
Hg 0.750 0.250 0.500
Sb 0.252 0.625 0.127
Sb 0.375 0.502 0.627
Sb 0.498 0.125 0.873
Sb 0.875 0.748 0.373
O 0.250 0.750 0.500
O 0.500 0.500 0.000
! relative energy among the computed polymorphs: 0.000 eV/atom
! D(E_F): 2.0 states/eV/cell
! electronic total energy: -3.557 eV/atom

=====

! GGA-PBE Pm3SmGe2, optimized geometry; values from VASP
&SYSTEM
  ibrav = 0, nat = 12, ntyp = 3
/
ATOMIC_SPECIES
Pm 145.00 Pm.upf
Sm 150.36 Sm.upf
Ge 72.64 Ge.upf
CELL_PARAMETERS angstrom
8.803 -2.219 0.000
8.803 2.219 0.000
-4.070 0.000 8.580
ATOMIC_POSITIONS crystal
Pm 0.047 0.047 0.196
Pm 0.310 0.310 0.615
Pm 0.347 0.347 0.024
Pm 0.653 0.653 0.976
Pm 0.690 0.690 0.385
Pm 0.953 0.953 0.804
Sm 0.115 0.115 0.629
Sm 0.885 0.885 0.371
Ge 0.241 0.241 0.218
Ge 0.494 0.494 0.634
Ge 0.506 0.506 0.366
Ge 0.759 0.759 0.782
! relative energy among the computed polymorphs: 0.004 eV/atom
! D(E_F): 12.2 states/eV/cell
! calculated formation energy: -0.572 eV/atom
! electronic total energy: -5.273 eV/atom

=====

! GGA-PBE Pm5Tl2Au, optimized geometry; values from VASP
&SYSTEM
  ibrav = 0, nat = 8, ntyp = 3
/
ATOMIC_SPECIES
Pm 145.00 Pm.upf
Tl 204.38 Tl.upf
Au 196.97 Au.upf
CELL_PARAMETERS angstrom
-3.586 3.586 4.468
3.586 -3.586 4.468
3.586 3.586 -4.468
ATOMIC_POSITIONS crystal
Pm 0.000 0.000 0.000
Pm 0.495 0.495 0.505
Pm 0.495 0.990 0.000
Pm 0.990 0.495 0.000
Pm 0.990 0.990 0.495
Tl 0.493 0.993 0.500
Tl 0.993 0.493 0.500
Au 0.460 0.460 0.000
! relative energy among the computed polymorphs: 0.090 eV/atom
! D(E_F): 10.2 states/eV/cell
! calculated formation energy: -0.303 eV/atom
! electronic total energy: -4.273 eV/atom

=====

! GGA-PBE RbLa2Au2, optimized geometry; values from VASP
&SYSTEM
  ibrav = 0, nat = 5, ntyp = 3
/
ATOMIC_SPECIES
Rb 85.47 Rb.upf
La 138.91 La.upf
Au 196.97 Au.upf
CELL_PARAMETERS angstrom
-2.715 2.715 5.736
2.715 -2.715 5.736
2.715 2.715 -5.736
ATOMIC_POSITIONS crystal
Rb 0.000 0.000 0.000
La 0.250 0.750 0.500
La 0.750 0.250 0.500
Au 0.378 0.378 0.000
Au 0.622 0.622 0.000
! D(E_F): 5.0 states/eV/cell
! calculated formation energy: -0.354 eV/atom
! electronic total energy: -3.830 eV/atom

=====

! GGA-PBE Cr3Tc, optimized geometry; values from VASP
&SYSTEM
  ibrav = 0, nat = 4, ntyp = 2
/
ATOMIC_SPECIES
Cr 52.00 Cr.upf
Tc 98.00 Tc.upf
CELL_PARAMETERS angstrom
2.552 0.000 0.000
0.000 4.095 0.000
-0.872 0.000 4.768
ATOMIC_POSITIONS crystal
Cr 0.000 0.000 0.000
Cr 0.251 0.500 0.761
Cr 0.749 0.500 0.239
Tc 0.500 0.000 0.500
! D(E_F): 4.1 states/eV/cell
! calculated formation energy: 0.055 eV/atom
! electronic total energy: -9.754 eV/atom

=====

! GGA-PBE LiTa2S4, optimized geometry; values from VASP
&SYSTEM
  ibrav = 0, nat = 7, ntyp = 3
/
ATOMIC_SPECIES
Li 6.94 Li.upf
Ta 180.95 Ta.upf
S 32.06 S.upf
CELL_PARAMETERS angstrom
3.359 0.000 0.000
-1.680 2.909 0.000
0.000 0.000 13.065
ATOMIC_POSITIONS crystal
Li 0.000 0.000 0.000
Ta 0.000 0.000 0.250
Ta 0.000 0.000 0.750
S 0.333 0.667 0.633
S 0.333 0.667 0.872
S 0.667 0.333 0.128
S 0.667 0.333 0.367
! relative energy among the computed polymorphs: 0.000 eV/atom
! D(E_F): 3.3 states/eV/cell
! electronic total energy: -7.211 eV/atom

=====

! GGA-PBE Ca2MnAs2, optimized geometry; values from VASP
&SYSTEM
  ibrav = 0, nat = 10, ntyp = 3
/
ATOMIC_SPECIES
Ca 40.08 Ca.upf
Mn 54.94 Mn.upf
As 74.92 As.upf
CELL_PARAMETERS angstrom
7.122 0.000 0.000
0.000 7.122 0.000
0.000 0.000 4.361
ATOMIC_POSITIONS crystal
Ca 0.162 0.338 0.000
Ca 0.338 0.838 0.000
Ca 0.662 0.162 0.000
Ca 0.838 0.662 0.000
Mn 0.000 0.000 0.500
Mn 0.500 0.500 0.500
As 0.151 0.651 0.500
As 0.349 0.151 0.500
As 0.651 0.849 0.500
As 0.849 0.349 0.500
! D(E_F): 3.7 states/eV/cell
! calculated formation energy: -0.674 eV/atom
! electronic total energy: -5.168 eV/atom

=====

! GGA-PBE PrNd6Y2, optimized geometry; values from VASP
&SYSTEM
  ibrav = 0, nat = 9, ntyp = 3
/
ATOMIC_SPECIES
Pr 140.91 Pr.upf
Nd 144.24 Nd.upf
Y 88.91 Y.upf
CELL_PARAMETERS angstrom
7.596 0.000 0.000
-3.798 6.578 0.000
0.000 0.000 6.310
ATOMIC_POSITIONS crystal
Pr 0.000 0.000 0.000
Nd 0.188 0.375 0.293
Nd 0.188 0.812 0.293
Nd 0.375 0.188 0.707
Nd 0.625 0.812 0.293
Nd 0.812 0.188 0.707
Nd 0.812 0.625 0.707
Y 0.333 0.667 0.787
Y 0.667 0.333 0.213
! relative energy among the computed polymorphs: 0.073 eV/atom
! D(E_F): 14.5 states/eV/cell
! calculated formation energy: 0.199 eV/atom
! electronic total energy: -4.947 eV/atom

=====

! GGA-PBE Ho2CI, optimized geometry; values from VASP
&SYSTEM
  ibrav = 0, nat = 8, ntyp = 3
/
ATOMIC_SPECIES
Ho 164.93 Ho.upf
C 12.01 C.upf
I 126.90 I.upf
CELL_PARAMETERS angstrom
3.917 0.000 0.000
0.000 9.698 0.000
0.000 0.000 6.061
ATOMIC_POSITIONS crystal
Ho 0.000 0.065 0.000
Ho 0.000 0.695 0.809
Ho 0.500 0.305 0.309
Ho 0.500 0.935 0.500
C 0.000 0.909 0.706
C 0.500 0.091 0.206
I 0.000 0.353 0.727
I 0.500 0.647 0.227
! D(E_F): 3.9 states/eV/cell
! electronic total energy: -5.320 eV/atom

=====

! GGA-PBE TeRhSe2, optimized geometry; values from VASP
&SYSTEM
  ibrav = 0, nat = 4, ntyp = 3
/
ATOMIC_SPECIES
Te 127.60 Te.upf
Rh 102.91 Rh.upf
Se 78.96 Se.upf
CELL_PARAMETERS angstrom
3.889 0.000 0.000
0.000 2.597 4.339
0.000 -2.597 4.339
ATOMIC_POSITIONS crystal
Te 0.000 0.000 0.000
Rh 0.500 0.204 0.204
Se 0.000 0.392 0.392
Se 0.500 0.722 0.722
! D(E_F): 2.2 states/eV/cell
! electronic total energy: -4.537 eV/atom

=====

! GGA-PBE Ce4PaP5, optimized geometry; values from VASP
&SYSTEM
  ibrav = 0, nat = 10, ntyp = 3
/
ATOMIC_SPECIES
Ce 140.12 Ce.upf
Pa 231.04 Pa.upf
P 30.97 P.upf
CELL_PARAMETERS angstrom
-4.537 4.537 2.869
4.537 -4.537 2.869
4.537 4.537 -2.869
ATOMIC_POSITIONS crystal
Ce 0.098 0.700 0.798
Ce 0.300 0.098 0.399
Ce 0.700 0.902 0.601
Ce 0.902 0.300 0.202
Pa 0.500 0.500 0.000
P 0.000 0.000 0.000
P 0.206 0.402 0.609
P 0.402 0.794 0.196
P 0.598 0.206 0.804
P 0.794 0.598 0.391
! D(E_F): 17.9 states/eV/cell
! calculated formation energy: -1.463 eV/atom
! electronic total energy: -7.491 eV/atom

=====

! GGA-PBE YMgTlCd, optimized geometry; values from VASP
&SYSTEM
  ibrav = 0, nat = 4, ntyp = 4
/
ATOMIC_SPECIES
Y 88.91 Y.upf
Mg 24.30 Mg.upf
Tl 204.38 Tl.upf
Cd 112.41 Cd.upf
CELL_PARAMETERS angstrom
0.000 3.671 3.671
3.671 0.000 3.671
3.671 3.671 0.000
ATOMIC_POSITIONS crystal
Y 0.000 0.000 0.000
Mg 0.500 0.500 0.500
Tl 0.250 0.250 0.250
Cd 0.750 0.750 0.750
! D(E_F): 0.7 states/eV/cell
! calculated formation energy: -0.279 eV/atom
! electronic total energy: -3.114 eV/atom

=====

! GGA-PBE ZnSiBr2, optimized geometry; values from VASP
&SYSTEM
  ibrav = 0, nat = 4, ntyp = 3
/
ATOMIC_SPECIES
Zn 65.41 Zn.upf
Si 28.09 Si.upf
Br 79.90 Br.upf
CELL_PARAMETERS angstrom
3.468 0.000 0.000
0.000 3.468 0.000
0.000 0.000 9.384
ATOMIC_POSITIONS crystal
Zn 0.000 0.000 0.000
Si 0.000 0.000 0.500
Br 0.500 0.500 0.323
Br 0.500 0.500 0.677
! relative energy among the computed polymorphs: 0.388 eV/atom
! D(E_F): 0.2 states/eV/cell
! electronic total energy: -2.283 eV/atom

=====

! GGA-PBE Na2Tl5InHg, optimized geometry; values from VASP
&SYSTEM
  ibrav = 0, nat = 18, ntyp = 4
/
ATOMIC_SPECIES
Na 22.99 Na.upf
Tl 204.38 Tl.upf
In 114.82 In.upf
Hg 200.59 Hg.upf
CELL_PARAMETERS angstrom
2.402 -7.318 0.000
2.402 7.318 0.000
0.000 0.000 14.507
ATOMIC_POSITIONS crystal
Na 0.081 0.919 0.500
Na 0.083 0.917 0.829
Na 0.917 0.083 0.329
Na 0.919 0.081 0.000
Tl 0.085 0.915 0.163
Tl 0.249 0.751 0.659
Tl 0.255 0.745 0.334
Tl 0.408 0.592 0.835
Tl 0.417 0.583 0.161
Tl 0.583 0.417 0.661
Tl 0.592 0.408 0.335
Tl 0.745 0.255 0.834
Tl 0.751 0.249 0.159
Tl 0.915 0.085 0.663
In 0.245 0.755 0.001
In 0.755 0.245 0.501
Hg 0.420 0.580 0.490
Hg 0.580 0.420 0.990
! D(E_F): 8.2 states/eV/cell
! calculated formation energy: -0.074 eV/atom
! electronic total energy: -2.020 eV/atom

=====

! GGA-PBE Li2NiSbPt, optimized geometry; values from VASP
&SYSTEM
  ibrav = 0, nat = 5, ntyp = 4
/
ATOMIC_SPECIES
Li 6.94 Li.upf
Ni 58.69 Ni.upf
Sb 121.76 Sb.upf
Pt 195.08 Pt.upf
CELL_PARAMETERS angstrom
4.898 0.000 0.000
0.000 4.898 0.000
0.000 0.000 4.935
ATOMIC_POSITIONS crystal
Li 0.000 0.500 0.000
Li 0.500 0.000 0.000
Ni 0.000 0.000 0.500
Sb 0.500 0.500 0.000
Pt 0.500 0.500 0.500
! D(E_F): 3.9 states/eV/cell
! electronic total energy: -3.360 eV/atom